No. 1
# Dy4AgBiS8 PBE optimized geometry
data_Dy4AgBiS8
_symmetry_space_group_name_H-M 'R 3 m'
_symmetry_Int_Tables_number 160
_symmetry_space_group_name_Hall 'R 3 -2"'
_cell_length_a 8.0414
_cell_length_b 8.0414
_cell_length_c 19.9292
_cell_angle_alpha 90.00
_cell_angle_beta 90.00
_cell_angle_gamma 120.00
loop_
_atom_site_label
_atom_site_type_symbol
_atom_site_fract_x
_atom_site_fract_y
_atom_site_fract_z
Dy1 Dy 0.0000 0.0000 0.0000
Dy2 Dy 0.0086 0.5043 0.1263
Ag1 Ag 0.0000 0.0000 0.2560
Bi1 Bi 0.0000 0.0000 0.6168
S1 S 0.0000 0.0000 0.3854
S2 S 0.0000 0.0000 0.8673
S3 S 0.0163 0.5081 0.3812
S4 S 0.1739 0.3478 0.2041
# **M_tot**: 0.0 Bohr magnetons per cell
# **Formation energy from raw total energies**: -1.5270 eV/atom


No. 2
# DyAg2BiS4 PBE optimized geometry
data_DyAg2BiS4
_symmetry_space_group_name_H-M 'P 1 2/m 1'
_symmetry_Int_Tables_number 10
_cell_length_a 6.711
_cell_length_b 4.026
_cell_length_c 7.032
_cell_angle_alpha 90.00
_cell_angle_beta 111.34
_cell_angle_gamma 90.00
loop_
_symmetry_equiv_pos_as_xyz
'x,y,z'
'-x,-y,-z'
'-x,y,-z'
'x,-y,z'
loop_
_atom_site_label
_atom_site_type_symbol
_atom_site_fract_x
_atom_site_fract_y
_atom_site_fract_z
Dy1 Dy 0.000 0.000 0.000
Ag1 Ag 0.500 0.000 0.500
Ag2 Ag 0.500 0.500 0.000
Bi1 Bi 0.000 0.500 0.500
S1 S 0.243 0.500 0.246
S2 S 0.252 0.000 0.762
# **M_tot**: 0.0 Bohr magnetons per cell
# **Formation energy from raw total energies**: -0.7493 eV/atom


No. 3
# DyScAgBi PBE optimized geometry
data_DyScAgBi
_symmetry_space_group_name_H-M 'F -4 3 m'
_symmetry_Int_Tables_number 216
_symmetry_space_group_name_Hall 'F -4 2 3'
_cell_length_a 7.329
_cell_length_b 7.329
_cell_length_c 7.329
_cell_angle_alpha 90.00
_cell_angle_beta 90.00
_cell_angle_gamma 90.00
loop_
_atom_site_label
_atom_site_type_symbol
_atom_site_fract_x
_atom_site_fract_y
_atom_site_fract_z
Dy1 Dy 0.000 0.000 0.000
Sc1 Sc 0.000 0.000 0.500
Ag1 Ag 0.250 0.250 0.250
Bi1 Bi 0.250 0.250 0.750
# **M_tot**: 4.0 Bohr magnetons per cell
# **ΔE_f**: -364 meV per atom


No. 4
# SmDyAgBi PBE optimized geometry
data_SmDyAgBi
_symmetry_space_group_name_H-M 'F -4 3 m'
_symmetry_Int_Tables_number 216
_symmetry_space_group_name_Hall 'F -4 2 3'
_cell_length_a 7.558
_cell_length_b 7.558
_cell_length_c 7.558
_cell_angle_alpha 90.00
_cell_angle_beta 90.00
_cell_angle_gamma 90.00
loop_
_atom_site_label
_atom_site_type_symbol
_atom_site_fract_x
_atom_site_fract_y
_atom_site_fract_z
Sm1 Sm 0.000 0.000 0.000
Dy1 Dy 0.000 0.000 0.500
Ag1 Ag 0.250 0.250 0.750
Bi1 Bi 0.250 0.250 0.250
# **M_tot**: 0.0 Bohr magnetons per cell
# **ΔE_f**: -439 meV per atom


No. 5
# DyThAgBi PBE optimized geometry
data_DyThAgBi
_symmetry_space_group_name_H-M 'F -4 3 m'
_symmetry_Int_Tables_number 216
_symmetry_space_group_name_Hall 'F -4 2 3'
_cell_length_a 7.624
_cell_length_b 7.624
_cell_length_c 7.624
_cell_angle_alpha 90.00
_cell_angle_beta 90.00
_cell_angle_gamma 90.00
loop_
_atom_site_label
_atom_site_type_symbol
_atom_site_fract_x
_atom_site_fract_y
_atom_site_fract_z
Dy1 Dy 0.000 0.000 0.000
Th1 Th 0.000 0.000 0.500
Ag1 Ag 0.250 0.250 0.250
Bi1 Bi 0.250 0.250 0.750
# **M_tot**: 0.0 Bohr magnetons per cell
# **ΔE_f**: -285 meV per atom


No. 6
# DyYAgBi PBE optimized geometry
data_DyYAgBi
_symmetry_space_group_name_H-M 'F -4 3 m'
_symmetry_Int_Tables_number 216
_symmetry_space_group_name_Hall 'F -4 2 3'
_cell_length_a 7.503
_cell_length_b 7.503
_cell_length_c 7.503
_cell_angle_alpha 90.00
_cell_angle_beta 90.00
_cell_angle_gamma 90.00
loop_
_atom_site_label
_atom_site_type_symbol
_atom_site_fract_x
_atom_site_fract_y
_atom_site_fract_z
Dy1 Dy 0.000 0.000 0.000
Y1 Y 0.000 0.000 0.500
Ag1 Ag 0.250 0.250 0.250
Bi1 Bi 0.250 0.250 0.750
# **M_tot**: 2.7 Bohr magnetons per cell
# **ΔE_f**: -427 meV per atom


No. 7
# Er4AgBi PBE optimized geometry
data_Er4AgBi
_symmetry_space_group_name_H-M 'C m c m'
_symmetry_Int_Tables_number 63
_symmetry_space_group_name_Hall '-C 2c 2'
_cell_length_a 5.542
_cell_length_b 20.494
_cell_length_c 6.390
_cell_angle_alpha 90.00
_cell_angle_beta 90.00
_cell_angle_gamma 90.00
loop_
_atom_site_label
_atom_site_type_symbol
_atom_site_fract_x
_atom_site_fract_y
_atom_site_fract_z
Er1 Er 0.000 0.056 0.250
Er2 Er 0.000 0.206 0.002
Er3 Er 0.000 0.377 0.250
Ag1 Ag 0.000 0.081 0.750
Bi1 Bi 0.000 0.351 0.750
# **M_tot**: 0.0 Bohr magnetons per cell
# **ΔE_f**: -174 meV per atom


No. 8
# ErAg2Bi PBE optimized geometry
data_ErAg2Bi
_symmetry_space_group_name_H-M 'P 4/m m m'
_symmetry_Int_Tables_number 123
_symmetry_space_group_name_Hall '-P 4 2'
_cell_length_a 4.385
_cell_length_b 4.385
_cell_length_c 4.846
_cell_angle_alpha 90.00
_cell_angle_beta 90.00
_cell_angle_gamma 90.00
loop_
_atom_site_label
_atom_site_type_symbol
_atom_site_fract_x
_atom_site_fract_y
_atom_site_fract_z
Er1 Er 0.000 0.000 0.000
Ag1 Ag 0.000 0.500 0.500
Bi1 Bi 0.500 0.500 0.000
# **M_tot**: 0.0 Bohr magnetons per cell
# **ΔE_f**: -296 meV per atom


No. 9
# ErAgBi PBE optimized geometry
data_ErAgBi
_symmetry_space_group_name_H-M 'P 3 m 1'
_symmetry_Int_Tables_number 156
_cell_length_a 4.6553
_cell_length_b 4.6553
_cell_length_c 4.1830
_cell_angle_alpha 90.00
_cell_angle_beta 90.00
_cell_angle_gamma 120.00
loop_
_symmetry_equiv_pos_as_xyz
'x,y,z'
'-y,x-y,z'
'-x+y,-x,z'
'-y,-x,z'
'-x+y,y,z'
'x,x-y,z'
loop_
_atom_site_label
_atom_site_type_symbol
_atom_site_fract_x
_atom_site_fract_y
_atom_site_fract_z
Er1 Er 0.0000 0.0000 0.0000
Ag1 Ag 0.6667 0.3333 0.3298
Bi1 Bi 0.3333 0.6667 0.5751
# **M_tot**: 0.0 Bohr magnetons per cell
# **ΔE_f**: -332 meV per atom


No. 10
# Er8Ag2Bi PBE optimized geometry
data_Er8Ag2Bi
_symmetry_space_group_name_H-M 'C 1 2/m 1'
_symmetry_Int_Tables_number 12
_cell_length_a 8.723
_cell_length_b 13.748
_cell_length_c 5.562
_cell_angle_alpha 90.00
_cell_angle_beta 107.66
_cell_angle_gamma 90.00
loop_
_symmetry_equiv_pos_as_xyz
'x,y,z'
'-x,-y,-z'
'-x,y,-z'
'x,-y,z'
'x+1/2,y+1/2,z'
'-x+1/2,-y+1/2,-z'
'-x+1/2,y+1/2,-z'
'x+1/2,-y+1/2,z'
loop_
_atom_site_label
_atom_site_type_symbol
_atom_site_fract_x
_atom_site_fract_y
_atom_site_fract_z
Er1 Er 0.000 0.239 0.000
Er2 Er 0.099 0.500 0.801
Er3 Er 0.208 0.120 0.606
Ag1 Ag 0.000 0.304 0.500
Bi1 Bi 0.000 0.000 0.000
# **M_tot**: 0.6 Bohr magnetons per cell
# **ΔE_f**: -117 meV per atom


No. 11
# ErAg2Bi2 PBE optimized geometry
data_ErAg2Bi2
_symmetry_space_group_name_H-M 'C m c m'
_symmetry_Int_Tables_number 63
_symmetry_space_group_name_Hall '-C 2c 2'
_cell_length_a 4.606
_cell_length_b 23.313
_cell_length_c 4.604
_cell_angle_alpha 90.00
_cell_angle_beta 90.00
_cell_angle_gamma 90.00
loop_
_atom_site_label
_atom_site_type_symbol
_atom_site_fract_x
_atom_site_fract_y
_atom_site_fract_z
Er1 Er 0.000 0.143 0.250
Ag1 Ag 0.000 0.037 0.750
Ag2 Ag 0.000 0.462 0.750
Bi1 Bi 0.000 0.250 0.750
Bi2 Bi 0.000 0.380 0.250
# **M_tot**: 0.0 Bohr magnetons per cell
# **ΔE_f**: -298 meV per atom


No. 12
# Er4AgBi PBE optimized geometry
data_Er4AgBi
_symmetry_space_group_name_H-M 'F -4 3 m'
_symmetry_Int_Tables_number 216
_symmetry_space_group_name_Hall 'F -4 2 3'
_cell_length_a 13.954
_cell_length_b 13.954
_cell_length_c 13.954
_cell_angle_alpha 90.00
_cell_angle_beta 90.00
_cell_angle_gamma 90.00
loop_
_atom_site_label
_atom_site_type_symbol
_atom_site_fract_x
_atom_site_fract_y
_atom_site_fract_z
Er1 Er 0.000 0.000 0.183
Er2 Er 0.063 0.250 0.750
Er3 Er 0.136 0.136 0.364
Ag1 Ag 0.151 0.151 0.151
Bi1 Bi 0.095 0.095 0.595
# **M_tot**: 0.0 Bohr magnetons per cell
# **ΔE_f**: -338 meV per atom


No. 13
# Er8Ag3Bi2 PBE optimized geometry
data_Er8Ag3Bi2
_symmetry_space_group_name_H-M 'C 1 2/m 1'
_symmetry_Int_Tables_number 12
_cell_length_a 14.960
_cell_length_b 8.133
_cell_length_c 6.225
_cell_angle_alpha 90.00
_cell_angle_beta 91.80
_cell_angle_gamma 90.00
loop_
_symmetry_equiv_pos_as_xyz
'x,y,z'
'-x,-y,-z'
'-x,y,-z'
'x,-y,z'
'x+1/2,y+1/2,z'
'-x+1/2,-y+1/2,-z'
'-x+1/2,y+1/2,-z'
'x+1/2,-y+1/2,z'
loop_
_atom_site_label
_atom_site_type_symbol
_atom_site_fract_x
_atom_site_fract_y
_atom_site_fract_z
Er1 Er 0.086 0.000 0.361
Er2 Er 0.109 0.205 0.853
Er3 Er 0.179 0.500 0.389
Ag1 Ag 0.000 0.329 0.500
Ag2 Ag 0.000 0.500 0.000
Bi1 Bi 0.240 0.500 0.892
# **M_tot**: 0.0 Bohr magnetons per cell
# **ΔE_f**: -187 meV per atom


No. 14
# Er2AgBi PBE optimized geometry
data_Er2AgBi
_symmetry_space_group_name_H-M 'P 4/m m m'
_symmetry_Int_Tables_number 123
_symmetry_space_group_name_Hall '-P 4 2'
_cell_length_a 5.050
_cell_length_b 5.050
_cell_length_c 4.061
_cell_angle_alpha 90.00
_cell_angle_beta 90.00
_cell_angle_gamma 90.00
loop_
_atom_site_label
_atom_site_type_symbol
_atom_site_fract_x
_atom_site_fract_y
_atom_site_fract_z
Er1 Er 0.000 0.500 0.000
Ag1 Ag 0.000 0.000 0.500
Bi1 Bi 0.500 0.500 0.500
# **M_tot**: 0.6 Bohr magnetons per cell
# **ΔE_f**: -428 meV per atom


No. 15
# ErAgBi PBE optimized geometry
data_ErAgBi
_symmetry_space_group_name_H-M 'I 4 m m'
_symmetry_Int_Tables_number 107
_symmetry_space_group_name_Hall 'I 4 -2'
_cell_length_a 4.133
_cell_length_b 4.133
_cell_length_c 9.237
_cell_angle_alpha 90.00
_cell_angle_beta 90.00
_cell_angle_gamma 90.00
loop_
_atom_site_label
_atom_site_type_symbol
_atom_site_fract_x
_atom_site_fract_y
_atom_site_fract_z
Er1 Er 0.000 0.000 0.000
Ag1 Ag 0.000 0.000 0.332
Bi1 Bi 0.000 0.000 0.655
# **M_tot**: 0.0 Bohr magnetons per cell
# **ΔE_f**: -243 meV per atom


No. 16
# Er5AgBi PBE optimized geometry
data_Er5AgBi
_symmetry_space_group_name_H-M 'C 1 2/c 1'
_symmetry_Int_Tables_number 15
_cell_length_a 8.837
_cell_length_b 9.024
_cell_length_c 10.338
_cell_angle_alpha 90.00
_cell_angle_beta 90.65
_cell_angle_gamma 90.00
loop_
_symmetry_equiv_pos_as_xyz
'x,y,z'
'-x,-y,-z'
'-x,y,-z+1/2'
'x,-y,z+1/2'
'x+1/2,y+1/2,z'
'-x+1/2,-y+1/2,-z'
'-x+1/2,y+1/2,-z+1/2'
'x+1/2,-y+1/2,z+1/2'
loop_
_atom_site_label
_atom_site_type_symbol
_atom_site_fract_x
_atom_site_fract_y
_atom_site_fract_z
Er1 Er 0.000 0.135 0.250
Er2 Er 0.173 0.216 0.840
Er3 Er 0.175 0.407 0.502
Ag1 Ag 0.000 0.000 0.000
Bi1 Bi 0.000 0.486 0.250
# **M_tot**: 0.0 Bohr magnetons per cell
# **ΔE_f**: -129 meV per atom


No. 17
# ErAgBi PBE optimized geometry
data_ErAgBi
_symmetry_space_group_name_H-M 'P 1 21/m 1'
_symmetry_Int_Tables_number 11
_cell_length_a 4.604
_cell_length_b 4.280
_cell_length_c 8.078
_cell_angle_alpha 90.00
_cell_angle_beta 99.63
_cell_angle_gamma 90.00
loop_
_symmetry_equiv_pos_as_xyz
'x,y,z'
'-x,-y,-z'
'-x,y+1/2,-z'
'x,-y+1/2,z'
loop_
_atom_site_label
_atom_site_type_symbol
_atom_site_fract_x
_atom_site_fract_y
_atom_site_fract_z
Er1 Er 0.242 0.250 0.314
Ag1 Ag 0.229 0.750 0.003
Bi1 Bi 0.270 0.250 0.712
# **M_tot**: 0.0 Bohr magnetons per cell
# **ΔE_f**: -380 meV per atom


No. 18
# Er4AgBi2 PBE optimized geometry
data_Er4AgBi2
_symmetry_space_group_name_H-M 'P 1 21/m 1'
_symmetry_Int_Tables_number 11
_cell_length_a 7.357
_cell_length_b 6.478
_cell_length_c 9.053
_cell_angle_alpha 90.00
_cell_angle_beta 110.59
_cell_angle_gamma 90.00
loop_
_symmetry_equiv_pos_as_xyz
'x,y,z'
'-x,-y,-z'
'-x,y+1/2,-z'
'x,-y+1/2,z'
loop_
_atom_site_label
_atom_site_type_symbol
_atom_site_fract_x
_atom_site_fract_y
_atom_site_fract_z
Er1 Er 0.039 0.002 0.225
Er2 Er 0.430 0.250 0.150
Er3 Er 0.452 0.250 0.552
Ag1 Ag 0.296 0.250 0.805
Bi1 Bi 0.181 0.750 0.558
Bi2 Bi 0.282 0.750 0.058
# **M_tot**: 0.0 Bohr magnetons per cell
# **ΔE_f**: -353 meV per atom


No. 19
# LaErAgBi PBE optimized geometry
data_LaErAgBi
_symmetry_space_group_name_H-M 'F -4 3 m'
_symmetry_Int_Tables_number 216
_symmetry_space_group_name_Hall 'F -4 2 3'
_cell_length_a 7.657
_cell_length_b 7.657
_cell_length_c 7.657
_cell_angle_alpha 90.00
_cell_angle_beta 90.00
_cell_angle_gamma 90.00
loop_
_atom_site_label
_atom_site_type_symbol
_atom_site_fract_x
_atom_site_fract_y
_atom_site_fract_z
La1 La 0.000 0.000 0.000
Er1 Er 0.000 0.000 0.500
Ag1 Ag 0.250 0.250 0.750
Bi1 Bi 0.250 0.250 0.250
# **M_tot**: 0.0 Bohr magnetons per cell
# **ΔE_f**: -450 meV per atom


No. 20
# LiErAgBi PBE optimized geometry
data_LiErAgBi
_symmetry_space_group_name_H-M 'F -4 3 m'
_symmetry_Int_Tables_number 216
_symmetry_space_group_name_Hall 'F -4 2 3'
_cell_length_a 7.219
_cell_length_b 7.219
_cell_length_c 7.219
_cell_angle_alpha 90.00
_cell_angle_beta 90.00
_cell_angle_gamma 90.00
loop_
_atom_site_label
_atom_site_type_symbol
_atom_site_fract_x
_atom_site_fract_y
_atom_site_fract_z
Li1 Li 0.000 0.000 0.000
Er1 Er 0.000 0.000 0.500
Ag1 Ag 0.250 0.250 0.750
Bi1 Bi 0.250 0.250 0.250
# **M_tot**: 0.0 Bohr magnetons per cell
# **ΔE_f**: -419 meV per atom


No. 21
# ErMgAgBi PBE optimized geometry
data_ErMgAgBi
_symmetry_space_group_name_H-M 'F -4 3 m'
_symmetry_Int_Tables_number 216
_symmetry_space_group_name_Hall 'F -4 2 3'
_cell_length_a 7.341
_cell_length_b 7.341
_cell_length_c 7.341
_cell_angle_alpha 90.00
_cell_angle_beta 90.00
_cell_angle_gamma 90.00
loop_
_atom_site_label
_atom_site_type_symbol
_atom_site_fract_x
_atom_site_fract_y
_atom_site_fract_z
Er1 Er 0.000 0.000 0.000
Mg1 Mg 0.000 0.000 0.500
Ag1 Ag 0.250 0.250 0.750
Bi1 Bi 0.250 0.250 0.250
# **M_tot**: 0.0 Bohr magnetons per cell
# **ΔE_f**: -239 meV per atom


No. 22
# NdErAgBi PBE optimized geometry
data_NdErAgBi
_symmetry_space_group_name_H-M 'F -4 3 m'
_symmetry_Int_Tables_number 216
_symmetry_space_group_name_Hall 'F -4 2 3'
_cell_length_a 7.575
_cell_length_b 7.575
_cell_length_c 7.575
_cell_angle_alpha 90.00
_cell_angle_beta 90.00
_cell_angle_gamma 90.00
loop_
_atom_site_label
_atom_site_type_symbol
_atom_site_fract_x
_atom_site_fract_y
_atom_site_fract_z
Nd1 Nd 0.000 0.000 0.000
Er1 Er 0.000 0.000 0.500
Ag1 Ag 0.250 0.250 0.750
Bi1 Bi 0.250 0.250 0.250
# **M_tot**: 0.0 Bohr magnetons per cell
# **ΔE_f**: -424 meV per atom


No. 23
# Er2AgBiO6 PBE optimized geometry
data_Er2AgBiO6
_symmetry_space_group_name_H-M 'R 3'
_symmetry_Int_Tables_number 146
_symmetry_space_group_name_Hall 'R 3'
_cell_length_a 5.7796
_cell_length_b 5.7796
_cell_length_c 15.5419
_cell_angle_alpha 90.00
_cell_angle_beta 90.00
_cell_angle_gamma 120.00
loop_
_atom_site_label
_atom_site_type_symbol
_atom_site_fract_x
_atom_site_fract_y
_atom_site_fract_z
Er1 Er 0.0000 0.0000 0.0000
Er2 Er 0.0000 0.0000 0.4910
Ag1 Ag 0.0000 0.0000 0.2350
Bi1 Bi 0.0000 0.0000 0.6950
O1 O 0.0128 0.3365 0.7566
O2 O 0.0358 0.6248 0.2656
# **M_tot**: 0.0 Bohr magnetons per cell
# **Formation energy from raw total energies**: -2.0857 eV/atom


No. 24
# ErAgBiPd PBE optimized geometry
data_ErAgBiPd
_symmetry_space_group_name_H-M 'F -4 3 m'
_symmetry_Int_Tables_number 216
_symmetry_space_group_name_Hall 'F -4 2 3'
_cell_length_a 7.045
_cell_length_b 7.045
_cell_length_c 7.045
_cell_angle_alpha 90.00
_cell_angle_beta 90.00
_cell_angle_gamma 90.00
loop_
_atom_site_label
_atom_site_type_symbol
_atom_site_fract_x
_atom_site_fract_y
_atom_site_fract_z
Er1 Er 0.000 0.000 0.000
Ag1 Ag 0.250 0.250 0.250
Bi1 Bi 0.000 0.000 0.500
Pd1 Pd 0.250 0.250 0.750
# **M_tot**: 0.0 Bohr magnetons per cell
# **ΔE_f**: -467 meV per atom


No. 25
# ErAgBiPt PBE optimized geometry
data_ErAgBiPt
_symmetry_space_group_name_H-M 'F -4 3 m'
_symmetry_Int_Tables_number 216
_symmetry_space_group_name_Hall 'F -4 2 3'
_cell_length_a 7.040
_cell_length_b 7.040
_cell_length_c 7.040
_cell_angle_alpha 90.00
_cell_angle_beta 90.00
_cell_angle_gamma 90.00
loop_
_atom_site_label
_atom_site_type_symbol
_atom_site_fract_x
_atom_site_fract_y
_atom_site_fract_z
Er1 Er 0.000 0.000 0.000
Ag1 Ag 0.250 0.250 0.750
Bi1 Bi 0.000 0.000 0.500
Pt1 Pt 0.250 0.250 0.250
# **M_tot**: 0.0 Bohr magnetons per cell
# **ΔE_f**: -515 meV per atom